[1]
Compound: CaPm2P2N6
Source: Alexandria
Functional: PBE-GGA
Structure: optimized geometry

Output
ΔE_f (raw): -0.97 eV per atom
total moment: 0.00 Bohr magnetons per cell

```
CaPm2P2N6
1.0
5.657 0.000 0.000
-2.829 4.802 -0.082
0.000 -2.852 5.716
Ca Pm P N
1 2 2 6
direct
0.500 0.000 0.500
0.706 0.412 0.169
0.294 0.588 0.831
0.961 0.922 0.754
0.039 0.078 0.246
0.779 0.557 0.610
0.170 0.870 0.176
0.300 0.130 0.824
0.830 0.130 0.824
0.700 0.870 0.176
0.221 0.443 0.390
```

---

[2]
Compound: CaPr2P2N6
Source: Alexandria
Functional: PBE-GGA
Structure: optimized geometry

Output
ΔE_f (raw): -0.88 eV per atom
total moment: 0.00 Bohr magnetons per cell

```
CaPr2P2N6
1.0
5.590 0.000 0.000
2.795 4.841 0.000
2.795 1.614 6.154
Ca Pr P N
1 2 2 6
direct
0.000 0.000 0.000
0.797 0.797 0.608
0.203 0.203 0.392
0.426 0.426 0.722
0.574 0.574 0.278
0.735 0.735 0.283
0.246 0.735 0.283
0.735 0.246 0.283
0.265 0.754 0.717
0.754 0.265 0.717
0.265 0.265 0.717
```

---

Number 1: DFT total energy -82.98 eV/f.u.. Number 2: DFT total energy -82.00 eV/f.u..